Entry 1:
# Sc2Ga4CoCu | the Open Quantum Materials Database | PBE | relaxed
data_Sc2Ga4CoCu
_chemical_formula_sum 'Sc4 Ga8 Co2 Cu2'
_cell_length_a 6.494
_cell_length_b 4.056
_cell_length_c 9.643
_cell_angle_alpha 90.00
_cell_angle_beta 90.00
_cell_angle_gamma 90.00
_symmetry_space_group_name_H-M 'A m m 2'
_symmetry_Int_Tables_number 38
_symmetry_space_group_name_Hall 'A 2 -2'
loop_
_atom_site_label
_atom_site_type_symbol
_atom_site_fract_x
_atom_site_fract_y
_atom_site_fract_z
Sc1 Sc 0.000 0.000 0.000
Sc2 Sc 0.500 0.000 0.153
Ga1 Ga 0.197 0.000 0.710
Ga2 Ga 0.296 0.000 0.438
Co1 Co 0.000 0.000 0.280
Cu1 Cu 0.500 0.000 0.869
# * final energy: -79.519 eV per cell



Entry 2:
# LiIr2Pd | the Open Quantum Materials Database | PBE | relaxed
data_LiIr2Pd
_chemical_formula_sum 'Li4 Ir8 Pd4'
_cell_length_a 6.097
_cell_length_b 6.097
_cell_length_c 6.097
_cell_angle_alpha 90.00
_cell_angle_beta 90.00
_cell_angle_gamma 90.00
_symmetry_space_group_name_H-M 'F -4 3 m'
_symmetry_Int_Tables_number 216
_symmetry_space_group_name_Hall 'F -4 2 3'
loop_
_atom_site_label
_atom_site_type_symbol
_atom_site_fract_x
_atom_site_fract_y
_atom_site_fract_z
Li1 Li 0.000 0.000 0.000
Ir1 Ir 0.000 0.000 0.500
Ir2 Ir 0.250 0.250 0.750
Pd1 Pd 0.250 0.250 0.250
# * final energy: -97.811 eV per cell



Entry 3:
# LiZrTlPt | the Open Quantum Materials Database | PBE | relaxed
data_LiZrTlPt
_chemical_formula_sum 'Li4 Zr4 Tl4 Pt4'
_cell_length_a 6.616
_cell_length_b 6.616
_cell_length_c 6.616
_cell_angle_alpha 90.00
_cell_angle_beta 90.00
_cell_angle_gamma 90.00
_symmetry_space_group_name_H-M 'F -4 3 m'
_symmetry_Int_Tables_number 216
_symmetry_space_group_name_Hall 'F -4 2 3'
loop_
_atom_site_label
_atom_site_type_symbol
_atom_site_fract_x
_atom_site_fract_y
_atom_site_fract_z
Li1 Li 0.000 0.000 0.000
Zr1 Zr 0.250 0.250 0.750
Tl1 Tl 0.000 0.000 0.500
Pt1 Pt 0.250 0.250 0.250
# * final energy: -79.147 eV per cell